No. 1
A relaxed structure of BaNa2SnI, computed with PBE.

a b c (Å): 7.1879 6.3389 7.1879
angles (deg): 90.00 90.00 90.00
Last column: nearest neighbours and their distance in Å.
Element x y z (fractional)
Sn (0.5000, 0.5000, 0.5000)  8 Na 4.79, 4 I 5.08
Ba (0.0000, 0.0000, 0.0000)  2 I 3.17
Na (0.0000, 0.0000, 0.5000)  2 Ba 3.59
Na (0.5000, 0.0000, 0.0000)  2 Ba 3.59
I (0.0000, 0.5000, 0.0000)  2 Ba 3.17

Properties
The space group is P4/mmm, No. 123. For the total magnetization, the calculation gives 1.1 μB per formula unit.

No. 2
A relaxed structure of BaNa2SnI6, computed with PBE.

a b c (Å): 8.2897 8.2900 8.8665
angles (deg): 62.12 62.10 59.99
Last column: nearest neighbours and their distance in Å.
Element x y z (fractional)
I (0.9164, 0.6035, 0.2438)  2 Na 3.22-3.29, 1 Sn 3.27, 1 Ba 3.50
I (0.3840, 0.7252, 0.7561)  1 Sn 3.20, 2 Na 3.22-3.35, 1 Ba 3.46
I (0.6036, 0.2364, 0.2437)  2 Na 3.22-3.28, 1 Sn 3.27, 1 Ba 3.50
I (0.2363, 0.9163, 0.2437)  2 Na 3.22-3.28, 1 Sn 3.27, 1 Ba 3.50
I (0.1346, 0.3841, 0.7562)  1 Sn 3.20, 2 Na 3.22-3.35, 1 Ba 3.46
I (0.7251, 0.1345, 0.7563)  1 Sn 3.19, 2 Na 3.22-3.35, 1 Ba 3.46
Ba (0.8150, 0.8151, 0.5549)  6 I 3.46-3.50
Na (0.0071, 0.0071, 0.9787)  6 I 3.22-3.29
Na (0.5161, 0.5160, 0.4519)  6 I 3.22-3.35
Sn (0.3234, 0.3234, 0.0299)  6 I 3.19-3.27

Properties
The space group is R3, No. 146. For the total magnetization, the calculation gives 0.0 μB per formula unit.

Formation energy without anion corrections across the listed records, respectively: 284.6 -1163.9 meV/atom.